{
  "formula": "YTiRePt2",
  "functional": "PBE",
  "state": "relaxed",
  "lattice_angstrom": [[4.759, 0.000, 0.000], [0.000, 4.571, 0.000], [0.000, 0.000, 4.759]],
  "species": ["Ti", "Pt", "Y", "Re", "Pt"],
  "frac_coords": [[0.000, 0.000, 0.000], [0.500, 0.000, 0.000], [0.500, 0.500, 0.500], [0.000, 0.500, 0.000], [0.000, 0.000, 0.500]]
}

{
  "formula": "ZrTiRePt",
  "functional": "PBE",
  "state": "relaxed",
  "lattice_angstrom": [[4.578, 0.000, 0.000], [2.289, 3.964, 0.000], [2.289, 1.321, 3.738]],
  "species": ["Ti", "Re", "Zr", "Pt"],
  "frac_coords": [[0.250, 0.250, 0.250], [0.500, 0.500, 0.500], [0.750, 0.750, 0.750], [0.000, 0.000, 0.000]]
}

{
  "formula": "TlRePt2",
  "functional": "PBE",
  "state": "relaxed",
  "lattice_angstrom": [[-0.331, -2.929, 0.170], [0.198, 0.148, 2.943], [-7.822, 0.911, 0.479]],
  "species": ["Re", "Pt", "Tl", "Pt"],
  "frac_coords": [[0.000, 0.000, 0.471], [0.500, 0.500, 0.265], [0.500, 0.500, 0.750], [0.000, 0.000, 0.014]],
  "polymorph_energy_mev_per_atom": 210
}

{
  "formula": "TlRePt4",
  "functional": "PBE",
  "state": "relaxed",
  "lattice_angstrom": [[0.000, 3.760, 3.760], [3.760, 0.000, 3.760], [3.760, 3.760, 0.000]],
  "species": ["Pt", "Tl", "Pt", "Pt", "Re", "Pt"],
  "frac_coords": [[0.873, 0.376, 0.376], [0.000, 0.000, 0.000], [0.376, 0.873, 0.376], [0.376, 0.376, 0.376], [0.750, 0.750, 0.750], [0.376, 0.376, 0.873]]
}

Number 1: energy of formation from the pure elements 168 meV/atom, raw total energy -38.05 eV per cell. Number 2: energy of formation from the pure elements -573 meV/atom, raw total energy -37.22 eV per cell. Number 3: energy of formation from the pure elements 319 meV/atom, raw total energy -25.62 eV per cell. Number 4: energy of formation from the pure elements 515 meV/atom, raw total energy -35.89 eV per cell.